Record 1
DFT (GGA-PBE) results for crystalline Li2AlAg at its relaxed geometry.

a = 3.913 Å, b = 2.908 Å, c = 5.650 Å
α = 90.00°, β = 90.40°, γ = 90.00°
Space group P2/m (No. 10)
Unique sites:
Li  0.001  0.000  0.249
Al  0.500  0.500  0.500
Ag  0.500  0.500  0.000

Calculated values
Fermi-level density of states = 1.4 states/eV/f.u.
energy relative to the elements = -0.16 eV/atom
crystal system = monoclinic



Record 2
DFT (GGA-PBE) results for crystalline TcAu at its relaxed geometry.

a = 2.839 Å, b = 3.885 Å, c = 5.890 Å
α = 90.00°, β = 90.00°, γ = 90.00°
Space group Pmmn (No. 59, origin choice 2)
Unique sites:
Tc  0.250  0.250  0.098
Au  0.250  0.250  0.631

Calculated values
Fermi-level density of states = 1.9 states/eV/f.u.
energy relative to the elements = 0.25 eV/atom
crystal system = orthorhombic
E above lowest polymorph = 171 meV per atom